# 1
Here is a relaxed Rb2PmAl2O6 crystal from Alexandria. Energies are from GGA-PBE.

Values from the calculation:
The space group is R-3m. The total DFT energy (no corrections) comes out at -6.29 eV/atom. The uncorrected formation energy comes out at -2296 meV per atom. The calculation puts the total moment at 1.0 μB/f.u.

Lattice parameters (Å, degrees): 7.311 7.311 7.311 49.81 49.81 49.81
Atoms (fractional coordinates):
Rb1 0.203 0.203 0.203
Rb2 0.797 0.797 0.797
Pm1 0.000 0.000 0.000
Al1 0.409 0.409 0.409
Al2 0.591 0.591 0.591
O1 0.250 0.250 0.730
O2 0.250 0.730 0.250
O3 0.270 0.750 0.750
O4 0.730 0.250 0.250
O5 0.750 0.270 0.750
O6 0.750 0.750 0.270



# 2
Here is a relaxed PmAlRhO6 crystal from Alexandria. Energies are from GGA-PBE.

Values from the calculation:
The space group is P-31c. The total DFT energy (no corrections) comes out at -7.02 eV/atom. The uncorrected formation energy comes out at -1954 meV per atom. The calculation puts the total moment at 2.7 μB/f.u.

Lattice parameters (Å, degrees): 5.082 5.082 10.139 90.00 90.00 120.00
Atoms (fractional coordinates):
Pm1 0.000 0.000 0.000
Pm2 0.000 0.000 0.500
Al1 0.333 0.667 0.250
Al2 0.667 0.333 0.750
Rh1 0.333 0.667 0.750
Rh2 0.667 0.333 0.250
O1 0.007 0.371 0.145
O2 0.007 0.636 0.355
O3 0.364 0.371 0.355
O4 0.364 0.993 0.145
O5 0.371 0.007 0.645
O6 0.371 0.364 0.855
O7 0.629 0.636 0.145
O8 0.629 0.993 0.355
O9 0.636 0.007 0.855
O10 0.636 0.629 0.645
O11 0.993 0.364 0.645
O12 0.993 0.629 0.855